{"formula": "CrIn4Cu", "functional": "PBE", "state": "relaxed", "cell": [[0.000, 4.196, 4.196], [4.196, 0.000, 4.196], [4.196, 4.196, 0.000]], "species": ["Cr", "In", "In", "In", "In", "Cu"], "fractional_positions": [[0.750, 0.750, 0.750], [0.875, 0.375, 0.375], [0.375, 0.375, 0.875], [0.375, 0.875, 0.375], [0.375, 0.375, 0.375], [0.000, 0.000, 0.000]], "formation_enthalpy_0k_kj_per_mol_atoms": 61.35, "n_ef_per_ev_cell": 2.84, "crystal_system": "cubic", "dft_energy_ev_per_cell": -20.9, "magnetic_moment_mub_per_cell": 4.5}